KCrCl after structural relaxation. Source: Alexandria via LeMat-Bulk, functional GGA-PBE.

a b c (Å): 5.215 5.215 5.215
angles (deg): 60.00 60.00 60.00
Sites, in units of the cell vectors:
K 0.000 0.000 0.000
Cr 0.500 0.500 0.500
Cl 0.250 0.250 0.250

## Properties
- Relative energy among the computed polymorphs: 126 meV per atom
- Calculated volume: 33.43 Å³ per atom
- Energy relative to the elements, uncorrected: 0.024 eV per atom
- Symmetry: F-43m, No. 216
- Electronic total energy: -4.16 eV/atom

***

K2CrCl after structural relaxation. Source: Alexandria via LeMat-Bulk, functional GGA-PBE.

a b c (Å): 6.474 6.474 6.474
angles (deg): 136.66 109.45 86.54
Sites, in units of the cell vectors:
K 0.205 0.205 0.000
K 0.795 0.795 0.000
Cr 0.500 0.000 0.500
Cl 0.000 0.500 0.500

## Properties
- Relative energy among the computed polymorphs: 174 meV per atom
- Calculated volume: 42.13 Å³ per atom
- Energy relative to the elements, uncorrected: -0.110 eV per atom
- Symmetry: Immm, No. 71
- Electronic total energy: -3.53 eV/atom

***

KCrCl after structural relaxation. Source: Alexandria via LeMat-Bulk, functional GGA-PBE.

a b c (Å): 4.570 4.570 5.136
angles (deg): 90.00 90.00 120.00
Sites, in units of the cell vectors:
K 0.000 0.000 0.000
Cr 0.333 0.667 0.500
Cl 0.667 0.333 0.500

## Properties
- Relative energy among the computed polymorphs: 76 meV per atom
- Calculated volume: 30.97 Å³ per atom
- Energy relative to the elements, uncorrected: -0.026 eV per atom
- Symmetry: P-6m2, No. 187
- Electronic total energy: -4.22 eV/atom